Entry from Alexandria: K2PbCl2 after structural relaxation (GGA-PBEsol).

Its uncorrected energy is -2.9059 eV/atom. The energy relative to the elements, uncorrected comes out at -0.8497 eV/atom.

It has space group I4/mmm (No. 139), with a = 5.290 Å, b = 5.290 Å, c = 13.224 Å, α = 90.00°, β = 90.00° and γ = 90.00°. Symmetry generates all atoms from K at (0.000, 0.500, 0.250), Pb at (0.000, 0.000, 0.000) and Cl at (0.000, 0.000, 0.355).

=====

Entry from Alexandria: KPbCl after structural relaxation (GGA-PBEsol).

Its uncorrected energy is -2.7630 eV/atom. The energy relative to the elements, uncorrected comes out at -0.3830 eV/atom. The energy above the most stable polymorph in this dataset is 324 meV/atom.

It has space group F-43m (No. 216), with a = 7.417 Å, b = 7.417 Å, c = 7.417 Å, α = 90.00°, β = 90.00° and γ = 90.00°. Symmetry generates all atoms from K at (0.000, 0.000, 0.000), Pb at (0.000, 0.000, 0.500) and Cl at (0.250, 0.250, 0.250).

=====

Entry from Alexandria: K2PbCl6 after structural relaxation (GGA-PBEsol).

Its uncorrected energy is -3.3057 eV/atom. The energy relative to the elements, uncorrected comes out at -1.2710 eV/atom.

It has space group P2_1/c (No. 14), with a = 7.096 Å, b = 7.371 Å, c = 12.028 Å, α = 90.00°, β = 124.91° and γ = 90.00°. Symmetry generates all atoms from K at (0.229, 0.068, 0.248), Pb at (0.500, 0.000, 0.000), Cl at (0.171, 0.196, 0.960), Cl at (0.271, 0.715, 0.966) and Cl at (0.324, 0.009, 0.748).

=====

Entry from Alexandria: K2PbCl after structural relaxation (GGA-PBEsol).

Its uncorrected energy is -2.8594 eV/atom. The energy relative to the elements, uncorrected comes out at -0.7911 eV/atom. The energy above the most stable polymorph in this dataset is 70 meV/atom.

It has space group P4mm (No. 99), with a = 3.758 Å, b = 3.758 Å, c = 10.398 Å, α = 90.00°, β = 90.00° and γ = 90.00°. Symmetry generates all atoms from K at (0.000, 0.000, 0.000), K at (0.500, 0.500, 0.414), Pb at (0.000, 0.000, 0.659) and Cl at (0.500, 0.500, 0.132).

=====

Entry from Alexandria: K2PbCl after structural relaxation (GGA-PBEsol).

Its uncorrected energy is -2.7204 eV/atom. The energy relative to the elements, uncorrected comes out at -0.6521 eV/atom. The energy above the most stable polymorph in this dataset is 209 meV/atom.

It has space group P4/mmm (No. 123), with a = 6.181 Å, b = 6.181 Å, c = 3.424 Å, α = 90.00°, β = 90.00° and γ = 90.00°. Symmetry generates all atoms from K at (0.000, 0.500, 0.000), Pb at (0.000, 0.000, 0.500) and Cl at (0.500, 0.500, 0.500).

=====

Entry from Alexandria: K2PbCl after structural relaxation (GGA-PBEsol).

Its uncorrected energy is -2.9297 eV/atom. The energy relative to the elements, uncorrected comes out at -0.8614 eV/atom. The energy above the most stable polymorph in this dataset is 0 meV/atom.

It has space group Imm2 (No. 44), with a = 3.569 Å, b = 3.823 Å, c = 19.569 Å, α = 90.00°, β = 90.00° and γ = 90.00°. Symmetry generates all atoms from K at (0.000, 0.000, 0.000), K at (0.000, 0.500, 0.204), Pb at (0.000, 0.500, 0.840) and Cl at (0.000, 0.000, 0.581).

=====

Entry from Alexandria: K2PbCl5 after structural relaxation (GGA-PBEsol).

Its uncorrected energy is -3.4135 eV/atom. The energy relative to the elements, uncorrected comes out at -1.3754 eV/atom.

It has space group Pnma (No. 62), with a = 12.214 Å, b = 8.750 Å, c = 7.928 Å, α = 90.00°, β = 90.00° and γ = 90.00°. Symmetry generates all atoms from K at (0.169, 0.009, 0.077), Pb at (0.008, 0.250, 0.575), Cl at (0.009, 0.250, 0.931), Cl at (0.068, 0.546, 0.680), Cl at (0.194, 0.250, 0.389) and Cl at (0.209, 0.750, 0.349).

=====

Entry from Alexandria: K2PdCl4 after structural relaxation (GGA-PBEsol).

Its uncorrected energy is -3.6906 eV/atom. The energy relative to the elements, uncorrected comes out at -1.3682 eV/atom.

It has space group P4/mmm (No. 123), with a = 6.978 Å, b = 6.978 Å, c = 4.065 Å, α = 90.00°, β = 90.00° and γ = 90.00°. Symmetry generates all atoms from K at (0.000, 0.500, 0.000), Pd at (0.000, 0.000, 0.500) and Cl at (0.232, 0.232, 0.500).